Record 1
Material: BaScHg2
Method: DFT, PBEsol
State: relaxed

Output
Size of the total moment ... 0.0 Bohr magnetons per cell
Energy of formation ... -0.272 eV/atom
Crystal system ... trigonal

```
data_BaScHg2
_space_group_name_H-M_alt 'R -3 m'
_space_group_IT_number 166
_space_group_name_Hall '-R 3 2"'
_cell_length_a 3.9330
_cell_length_b 3.9330
_cell_length_c 26.1925
_cell_angle_alpha 90.00
_cell_angle_beta 90.00
_cell_angle_gamma 120.00
loop_
_atom_site_label
_atom_site_type_symbol
_atom_site_fract_x
_atom_site_fract_y
_atom_site_fract_z
Ba1 Ba 0.0000 0.0000 0.0000
Sc1 Sc 0.0000 0.0000 0.5000
Hg1 Hg 0.0000 0.0000 0.2345
```

Record 2
Material: RePdRuRh2
Method: DFT, PBEsol
State: relaxed

Output
Size of the total moment ... 2.7 Bohr magnetons per cell
Energy of formation ... 1.872 eV/atom
Crystal system ... tetragonal

```
data_RePdRuRh2
_space_group_name_H-M_alt 'P 4/m m m'
_space_group_IT_number 123
_space_group_name_Hall '-P 4 2'
_cell_length_a 4.5697
_cell_length_b 4.5697
_cell_length_c 4.6850
_cell_angle_alpha 90.00
_cell_angle_beta 90.00
_cell_angle_gamma 90.00
loop_
_atom_site_label
_atom_site_type_symbol
_atom_site_fract_x
_atom_site_fract_y
_atom_site_fract_z
Re1 Re 0.0000 0.0000 0.0000
Pd1 Pd 0.0000 0.0000 0.5000
Ru1 Ru 0.5000 0.5000 0.5000
Rh1 Rh 0.0000 0.5000 0.0000
```